A plane-wave DFT calculation with PBE was carried out for a relaxed Ti4GeS8 crystal.

abc: 6.8251 6.8251 7.5215
angles: 63.02 63.02 60.00
Atoms (fractional coordinates):
S 0.7403 0.7403 0.7791
S 0.2564 0.7569 0.2297
S 0.2597 0.2597 0.2209
S 0.2431 0.2431 0.7703
S 0.7436 0.2431 0.7703
S 0.2431 0.7436 0.7703
S 0.7569 0.2564 0.2297
S 0.7569 0.7569 0.2297
Ti 0.0000 0.0000 0.0000
Ti 0.0000 0.5000 0.0000
Ti 0.5000 0.5000 0.0000
Ti 0.5000 0.0000 0.0000
Ge 0.5000 0.5000 0.5000

## Properties
The formation energy from raw total energies comes out at -1169 meV per atom. Its spin magnetization is 0.00 μB per formula unit. As for the energy above the lowest structure with this stoichiometry: 0.000 eV/atom.